An optimized crystal structure of Mo3Os2, computed with PBE.

Computed properties:
E above lowest polymorph   46.7 meV per atom
ΔE_f   0.05 eV/atom
Energy   -10.9377 eV per atom

abc: 9.6479 9.6479 4.9678
angles: 90.00 90.00 90.00
Atoms (fractional coordinates):
Mo1 0.1334 0.5369 0.0000
Mo2 0.3666 0.0369 0.5000
Mo3 0.8201 0.1799 0.7495
Mo4 0.4631 0.8666 0.0000
Mo5 0.0369 0.3666 0.5000
Mo6 0.6799 0.6799 0.2495
Mo7 0.8666 0.4631 0.0000
Mo8 0.5000 0.5000 0.5000
Mo9 0.9631 0.6334 0.5000
Mo10 0.0000 0.0000 0.0000
Mo11 0.8201 0.1799 0.2505
Mo12 0.5369 0.1334 0.0000
Mo13 0.1799 0.8201 0.7495
Mo14 0.6334 0.9631 0.5000
Mo15 0.3201 0.3201 0.2495
Mo16 0.3201 0.3201 0.7505
Mo17 0.1799 0.8201 0.2505
Mo18 0.6799 0.6799 0.7505
Os1 0.7653 0.4297 0.5000
Os2 0.0703 0.2653 0.0000
Os3 0.2347 0.5703 0.5000
Os4 0.8988 0.8988 0.5000
Os5 0.1012 0.1012 0.5000
Os6 0.9297 0.7347 0.0000
Os7 0.7347 0.9297 0.0000
Os8 0.2653 0.0703 0.0000
Os9 0.3988 0.6012 0.0000
Os10 0.4297 0.7653 0.5000
Os11 0.6012 0.3988 0.0000
Os12 0.5703 0.2347 0.5000

***

An optimized crystal structure of La2Er4C, computed with PBE.

Computed properties:
ΔE_f   0.09 eV/atom
Energy   -5.2430 eV per atom

abc: 4.8394 4.8394 9.7336
angles: 75.61 75.61 90.00
Atoms (fractional coordinates):
Er1 0.8704 0.8704 0.2591
Er2 0.0000 0.5000 0.0000
Er3 0.5000 0.0000 0.0000
Er4 0.1296 0.1296 0.7409
La1 0.6794 0.6794 0.6411
La2 0.3206 0.3206 0.3589
C1 0.0000 0.0000 0.0000

***

An optimized crystal structure of Sc8HgOs2, computed with PBE.

Computed properties:
ΔE_f   -0.33 eV/atom
Energy   -7.0058 eV per atom

abc: 4.8474 6.5274 8.3829
angles: 112.92 106.81 90.00
Atoms (fractional coordinates):
Os1 0.4669 0.2805 0.5705
Os2 0.8054 0.6191 0.2479
Sc1 0.1370 0.5425 0.9090
Sc2 0.6367 0.2662 0.9092
Sc3 0.3035 0.3539 0.2436
Sc4 0.9690 0.0194 0.5746
Sc5 0.3435 0.8525 0.3238
Sc6 0.5222 0.7152 0.6808
Sc7 0.7504 0.9433 0.1372
Sc8 0.9289 0.4378 0.4944
Hg1 0.1364 0.9695 0.9091

***

An optimized crystal structure of SiTcSb2, computed with PBE.

Computed properties:
Energy relative to the elements, uncorrected   254 meV per atom
Energy   -5.7542 eV per atom

abc: 7.5561 7.5561 7.5561
angles: 153.58 152.48 38.51
Atoms (fractional coordinates):
Sb1 0.0128 0.0128 0.0000
Sb2 0.7270 0.2270 0.5000
Tc1 0.3206 0.8206 0.5000
Si1 0.4396 0.4396 0.0000

***

An optimized crystal structure of CsCu2AuF8, computed with PBE.

Computed properties:
Energy relative to the elements, uncorrected   -1397 meV per atom
Energy   -3.6712 eV per atom

abc: 5.6227 5.6227 9.1443
angles: 72.09 72.09 60.00
Each line ends with the local moment (μB).
Atoms (fractional coordinates):
Cs1 0.0000 0.0000 0.0000  0.00
Au1 0.5000 0.5000 0.5000  0.84
F1 0.6818 0.6818 0.9546  0.17
F2 0.4945 0.1213 0.6681  0.18
F3 0.3182 0.3182 0.0454  0.17
F4 0.1213 0.7161 0.6681  0.18
F5 0.7161 0.4945 0.6681  0.18
F6 0.5055 0.2839 0.3319  0.18
F7 0.8787 0.5055 0.3319  0.18
F8 0.2839 0.8787 0.3319  0.18
Cu1 0.7531 0.7531 0.7406  0.82
Cu2 0.2469 0.2469 0.2594  0.82

***

An optimized crystal structure of HfAlAu, computed with PBE.

Computed properties:
ΔE_f   -0.44 eV/atom
Energy   -6.0942 eV per atom

abc: 4.1094 5.0501 6.9716
angles: 122.95 72.70 114.02
Atoms (fractional coordinates):
Hf1 0.9138 0.1005 0.5708
Hf2 0.2546 0.1533 0.9417
Al1 0.5842 0.1269 0.2562
Al2 0.5842 0.6269 0.7562
Au1 0.2310 0.6033 0.4402
Au2 0.9374 0.6505 0.0723

***

An optimized crystal structure of CsCdGa2Rh, computed with PBE.

Computed properties:
ΔE_f   -0.26 eV/atom
Energy   -3.2905 eV per atom

abc: 4.9315 4.9315 5.4226
angles: 90.00 90.00 90.00
Atoms (fractional coordinates):
Ga1 0.5000 0.0000 0.0000
Ga2 0.0000 0.5000 0.0000
Cd1 0.0000 0.0000 0.5000
Cs1 0.5000 0.5000 0.5000
Rh1 0.0000 0.0000 0.0000

***

An optimized crystal structure of PaSi2SbO8, computed with PBE.

Computed properties:
Energy relative to the elements, uncorrected   -2646 meV per atom
Energy   -7.9898 eV per atom

abc: 5.8552 5.8552 5.8552
angles: 106.46 106.46 115.68
Atoms (fractional coordinates):
O1 0.7486 0.0734 0.6752
O2 0.3344 0.1501 0.8157
O3 0.3982 0.0734 0.3248
O4 0.9266 0.6018 0.6752
O5 0.9266 0.2514 0.3248
O6 0.4813 0.6656 0.8157
O7 0.8499 0.6656 0.1843
O8 0.3344 0.5187 0.1843
Si1 0.5000 0.5000 0.0000
Si2 0.7500 0.2500 0.5000
Sb1 0.0000 0.0000 0.0000
Pa1 0.2500 0.7500 0.5000

***

no.,total moment (Bohr magnetons per cell),DOS at the Fermi energy (states/eV per atom)
1,0.00,0.772
2,0.00,1.740
3,0.00,0.811
4,0.00,0.451
5,4.04,0.950
6,0.00,0.651
7,0.00,0.319
8,0.00,0.000